Record 1
A relaxed AlHg2Te crystal, computed with PBE.

* size of the total moment: 0.000 μB/f.u.
* E above lowest polymorph: 255.3 meV per atom
* N(E_F): 1.70 states/eV/f.u.
* calculated volume: 212.2 Å³/cell

a = 5.896 Å, b = 11.660 Å, c = 3.087 Å
α = 90.00°, β = 90.00°, γ = 90.00°
Space group Cmmm (No. 65)
Unique sites:
Al: 0.000 0.000 0.000 (multiplicity 2)
Hg: 0.250 0.250 0.500 (multiplicity 4)
Te: 0.000 0.500 0.000 (multiplicity 2)



Record 2
A relaxed AlHgTe2 crystal, computed with PBE.

* size of the total moment: 0.000 μB/f.u.
* N(E_F): 1.90 states/eV/f.u.
* calculated volume: 108.9 Å³/cell
* final energy: -10.08 eV for the cell shown

a = 3.130 Å, b = 5.855 Å, c = 5.942 Å
α = 90.00°, β = 90.00°, γ = 90.00°
Space group Pmmm (No. 47)
Unique sites:
Al: 0.000 0.000 0.000 (multiplicity 1)
Hg: 0.500 0.500 0.500 (multiplicity 1)
Te: 0.000 0.000 0.500 (multiplicity 1)
Te: 0.500 0.500 0.000 (multiplicity 1)



Record 3
A relaxed Al2HgTe crystal, computed with PBE.

* size of the total moment: 0.000 μB/f.u.
* E above lowest polymorph: 124.2 meV per atom
* N(E_F): 1.66 states/eV/f.u.
* calculated volume: 98.2 Å³/cell

a = 3.532 Å, b = 3.532 Å, c = 7.869 Å
α = 90.00°, β = 90.00°, γ = 90.00°
Space group P4mm (No. 99)
Unique sites:
Al: 0.000 0.000 0.000 (multiplicity 1)
Al: 0.500 0.500 0.193 (multiplicity 1)
Hg: 0.000 0.000 0.436 (multiplicity 1)
Te: 0.500 0.500 0.809 (multiplicity 1)